Density functional theory data (GGA-PBE) for crystalline Co2NiPt4 at its relaxed geometry.

a = 6.1131 Å, b = 6.1131 Å, c = 5.5799 Å
α = 90.00°, β = 90.00°, γ = 90.00°
Fractional positions:
Co (0.0000, 0.5000, 0.0000)
Co (0.0000, 0.5000, 0.5000)
Co (0.5000, 0.0000, 0.0000)
Co (0.5000, 0.0000, 0.5000)
Ni (0.0000, 0.0000, 0.0000)
Ni (0.5000, 0.5000, 0.5000)
Pt (0.2500, 0.2500, 0.2500)
Pt (0.2500, 0.2500, 0.7500)
Pt (0.2500, 0.7500, 0.2500)
Pt (0.2500, 0.7500, 0.7500)
Pt (0.7500, 0.2500, 0.2500)
Pt (0.7500, 0.2500, 0.7500)
Pt (0.7500, 0.7500, 0.2500)
Pt (0.7500, 0.7500, 0.7500)

Relative energy among the computed polymorphs (meV/atom): 0
Spin magnetization (μB per cell): 12.140
ΔH_f (0 K) (eV/atom): 0.144

Density functional theory data (GGA-PBE) for crystalline La2Pr4NdTm2 at its relaxed geometry.

a = 8.2374 Å, b = 8.2374 Å, c = 8.1759 Å
α = 107.75°, β = 107.75°, γ = 36.82°
Fractional positions:
La (0.1118, 0.1118, 0.1702)
La (0.8882, 0.8882, 0.8298)
Pr (0.2208, 0.2208, 0.8276)
Pr (0.4446, 0.4446, 0.1696)
Pr (0.5554, 0.5554, 0.8304)
Pr (0.7792, 0.7792, 0.1724)
Nd (0.0000, 0.0000, 0.5000)
Tm (0.3320, 0.3320, 0.5005)
Tm (0.6680, 0.6680, 0.4995)

Spin magnetization (μB per cell): 0.000
ΔH_f (0 K) (eV/atom): 0.024

Density functional theory data (GGA-PBE) for crystalline Mn2V4Os at its relaxed geometry.

a = 2.9734 Å, b = 20.6711 Å, c = 2.9607 Å
α = 90.00°, β = 90.00°, γ = 90.00°
Fractional positions:
Mn (0.0000, 0.2094, 0.0000)
Mn (0.0000, 0.7906, 0.0000)
Mn (0.5000, 0.2906, 0.0000)
Mn (0.5000, 0.7094, 0.0000)
V (0.0000, 0.0742, 0.0000)
V (0.0000, 0.3510, 0.5000)
V (0.0000, 0.6490, 0.5000)
V (0.0000, 0.9258, 0.0000)
V (0.5000, 0.1490, 0.5000)
V (0.5000, 0.4258, 0.0000)
V (0.5000, 0.5742, 0.0000)
V (0.5000, 0.8510, 0.5000)
Os (0.0000, 0.5000, 0.5000)
Os (0.5000, 0.0000, 0.5000)

Relative energy among the computed polymorphs (meV/atom): 0
Spin magnetization (μB per cell): 0.001
ΔH_f (0 K) (eV/atom): -0.081

Density functional theory data (GGA-PBE) for crystalline TbHo2Hg at its relaxed geometry.

a = 3.6310 Å, b = 3.6310 Å, c = 31.2774 Å
α = 90.00°, β = 90.00°, γ = 120.00°
Fractional positions:
Tb (0.0000, 0.0000, 0.0000)
Tb (0.3333, 0.6667, 0.6667)
Tb (0.6667, 0.3333, 0.3333)
Ho (0.0000, 0.0000, 0.2426)
Ho (0.0000, 0.0000, 0.4242)
Ho (0.3333, 0.6667, 0.0908)
Ho (0.3333, 0.6667, 0.9093)
Ho (0.6667, 0.3333, 0.5759)
Ho (0.6667, 0.3333, 0.7575)
Hg (0.0000, 0.0000, 0.8336)
Hg (0.3333, 0.6667, 0.5003)
Hg (0.6667, 0.3333, 0.1670)

Relative energy among the computed polymorphs (meV/atom): 78
Spin magnetization (μB per cell): 0.017
ΔH_f (0 K) (eV/atom): -0.158

Density functional theory data (GGA-PBE) for crystalline RbTl2InBr6 at its relaxed geometry.

a = 8.1776 Å, b = 8.1911 Å, c = 8.3967 Å
α = 60.86°, β = 60.87°, γ = 60.06°
Fractional positions:
Rb (0.0000, 0.0000, 0.0000)
Tl (0.2049, 0.2037, 0.3863)
Tl (0.7160, 0.7152, 0.8520)
In (0.5110, 0.5109, 0.4666)
Br (0.1823, 0.7338, 0.6808)
Br (0.3221, 0.6018, 0.2225)
Br (0.4032, 0.1818, 0.6804)
Br (0.6022, 0.8523, 0.2220)
Br (0.7353, 0.4026, 0.6799)
Br (0.8527, 0.3233, 0.2214)

Formation energy (no corrections) (meV/atom): -1020
Spin magnetization (μB per cell): 0.000

Density functional theory data (GGA-PBE) for crystalline CsCoRhS2 at its relaxed geometry.

a = 4.5784 Å, b = 4.5784 Å, c = 6.1532 Å
α = 90.00°, β = 90.00°, γ = 90.00°
Fractional positions:
Cs (0.0000, 0.0000, 0.0000)
Co (0.5000, 0.5000, 0.0000)
Rh (0.0000, 0.0000, 0.5000)
S (0.0000, 0.5000, 0.5000)
S (0.5000, 0.0000, 0.5000)

Formation energy (no corrections) (meV/atom): 864
Spin magnetization (μB per cell): 2.201

no.,mass density (g/cm3)
1,15.24
2,6.98
3,9.20
4,9.62
5,4.48
6,4.62